An optimized crystal structure of Rb2InW3O12, computed with PBE+U.

The value obtained for the magnetization is 1.042 μB/cell. Its space group is R-3m, No. 166. The calculation puts the total energy at -119.62 eV for the cell shown.

Lattice parameters (Å, degrees): 7.5054 7.5054 7.5054 59.77 59.77 59.77
Fractional coordinates of all 18 atoms:
Rb1 0.1335 0.1335 0.1335
Rb2 0.8665 0.8665 0.8665
In1 0.5000 0.5000 0.5000
W1 0.0000 0.5000 0.5000
W2 0.5000 0.0000 0.5000
W3 0.5000 0.5000 0.0000
O1 0.1550 0.5749 0.5749
O2 0.1959 0.1959 0.5649
O3 0.1959 0.5649 0.1959
O4 0.4251 0.4251 0.8450
O5 0.4251 0.8450 0.4251
O6 0.4351 0.8041 0.8041
O7 0.5649 0.1959 0.1959
O8 0.5749 0.1550 0.5749
O9 0.5749 0.5749 0.1550
O10 0.8041 0.4351 0.8041
O11 0.8041 0.8041 0.4351
O12 0.8450 0.4251 0.4251